{
  "formula": "HgGeSb2I",
  "functional": "PBE-GGA",
  "state": "relaxed",
  "cell": [[-5.194, -1.627, 0.509], [1.654, -4.413, 2.770], [-0.438, 2.951, 4.962]],
  "species": ["I", "Sb", "Sb", "Ge", "Hg"],
  "fractional_positions": [[0.000, 0.000, 0.500], [0.000, 0.500, 0.000], [0.500, 0.000, 0.000], [0.000, 0.000, 0.000], [0.500, 0.500, 0.500]],
  "raw_formation_energy_mev_per_atom": 493
}

{
  "formula": "Zr2BeBr",
  "functional": "PBE-GGA",
  "state": "relaxed",
  "cell": [[-9.028, -3.093, -2.250], [-7.446, -6.054, -2.011], [-8.647, -4.560, 0.755]],
  "species": ["Be", "Br", "Zr", "Zr"],
  "fractional_positions": [[0.516, 0.516, 0.516], [0.735, 0.735, 0.735], [0.000, 0.000, 0.000], [0.248, 0.248, 0.248]],
  "raw_formation_energy_mev_per_atom": 43
}

{
  "formula": "NpNb2V",
  "functional": "PBE-GGA",
  "state": "relaxed",
  "cell": [[2.976, 0.000, 0.000], [1.488, 2.577, 0.000], [1.488, 0.859, 9.678]],
  "species": ["Np", "Nb", "Nb", "V"],
  "fractional_positions": [[0.000, 0.000, 0.000], [0.096, 0.096, 0.712], [0.904, 0.904, 0.288], [0.500, 0.500, 0.500]],
  "e_form_mev_per_atom": 539
}

{
  "formula": "InMo2As",
  "functional": "PBE-GGA",
  "state": "relaxed",
  "cell": [[-3.004, 1.465, -3.110], [-3.609, -1.488, -2.367], [-4.126, 1.623, 3.097]],
  "species": ["Mo", "Mo", "As", "In"],
  "fractional_positions": [[0.988, 0.988, 0.037], [0.512, 0.512, 0.463], [0.250, 0.250, 0.250], [0.750, 0.750, 0.750]],
  "e_form_mev_per_atom": 336
}

no.,density of states at the Fermi level (states/eV/cell)
1,5.03
2,5.00
3,7.52
4,3.83